{"formula": "VPO4", "functional": "GGA+U", "state": "optimized geometry", "cell": [[10.070, 0.000, 0.000], [0.000, 5.895, 0.000], [0.000, 0.000, 4.958]], "species": ["V", "V", "V", "V", "P", "P", "P", "P", "O", "O", "O", "O", "O", "O", "O", "O", "O", "O", "O", "O", "O", "O", "O", "O"], "frac_coords": [[0.231, 0.250, 0.022], [0.269, 0.750, 0.522], [0.731, 0.250, 0.478], [0.769, 0.750, 0.978], [0.097, 0.750, 0.088], [0.403, 0.250, 0.588], [0.597, 0.750, 0.412], [0.903, 0.250, 0.912], [0.052, 0.250, 0.858], [0.125, 0.750, 0.787], [0.170, 0.547, 0.238], [0.170, 0.953, 0.238], [0.330, 0.047, 0.738], [0.330, 0.453, 0.738], [0.375, 0.250, 0.287], [0.448, 0.750, 0.358], [0.552, 0.250, 0.642], [0.625, 0.750, 0.713], [0.670, 0.547, 0.262], [0.670, 0.953, 0.262], [0.830, 0.047, 0.762], [0.830, 0.453, 0.762], [0.875, 0.250, 0.213], [0.948, 0.750, 0.142]], "dos_ef_per_ev_fu": 0.00, "m_tot_mub_per_atom": 0.333, "sg": "Pnma", "final_energy_ev_per_cell": -183.4}